4
Lattice="2.315 1.336 8.325 -2.315 1.336 8.325 0.000 -2.673 8.325" Properties=species:S:1:pos:R:3 comment="BaSrMgPd, optimized geometry, DFT GGA-PBE" delta_e_f_ev_per_atom=-0.36 density_g_cm3=3.821 pbc="T T T"
Ba 0.000 0.000 0.000
Sr 0.000 0.000 20.526
Mg 0.000 0.000 6.000
Pd 0.000 0.000 14.302



14
Lattice="6.428 0.000 0.000 0.000 12.567 0.000 -3.734 0.000 5.851" Properties=species:S:1:pos:R:3 comment="Pm2Sm2Dy3, optimized geometry, DFT GGA-PBE" delta_e_f_ev_per_atom=0.15 density_g_cm3=7.576 relative_energy_kcal_per_mol_atoms=0.62 pbc="T T T"
Pm -1.077 1.435 2.550
Pm -2.944 4.849 5.475
Pm 5.638 7.718 0.376
Pm 3.771 11.132 3.301
Sm 1.943 2.629 1.962
Sm 0.076 3.655 4.887
Sm 2.618 8.913 0.963
Sm 0.751 9.938 3.888
Dy -1.886 7.707 3.802
Dy -0.019 11.143 0.877
Dy 3.214 0.000 0.000
Dy 1.347 6.284 2.925
Dy 2.713 1.424 4.974
Dy 4.580 4.860 2.049



5
Lattice="-2.099 2.099 4.802 2.099 -2.099 4.802 2.099 2.099 -4.802" Properties=species:S:1:pos:R:3 comment="CaNi2Ge2, optimized geometry, DFT GGA-PBE" delta_e_f_ev_per_atom=-0.40 density_g_cm3=5.938 pbc="T T T"
Ca 0.000 0.000 0.000
Ni 0.000 0.000 3.575
Ni 0.000 0.000 6.029
Ge 2.099 0.000 2.401
Ge 0.000 2.099 2.401



8
Lattice="5.959 0.000 0.000 0.000 3.456 0.000 -1.940 0.000 5.648" Properties=species:S:1:pos:R:3 comment="Tb2TmNpN4, optimized geometry, DFT GGA-PBE" e_form_raw_mev_per_atom=-1565 density_g_cm3=11.132 pbc="T T T"
Tb 0.000 0.000 0.000
Tb 2.979 1.728 0.000
Tm -0.970 1.728 2.824
Np 2.009 0.000 2.824
N 0.100 0.000 4.147
N 1.020 1.728 1.481
N 2.999 1.728 4.167
N 3.919 0.000 1.501



18
Lattice="-3.659 3.722 5.227 3.659 -3.722 5.227 3.659 3.722 -5.227" Properties=species:S:1:pos:R:3 comment="RbNbTeO6, optimized geometry, DFT GGA-PBE" e_form_raw_mev_per_atom=-1826 density_g_cm3=4.689 relative_energy_kcal_per_mol_atoms=0.00 pbc="T T T"
Rb 0.000 1.861 1.316
Rb 3.659 1.861 3.911
Nb 3.659 0.000 0.000
Nb 0.000 0.000 5.227
Te 1.829 1.861 -2.613
Te 1.829 -1.861 2.613
O 2.224 -0.470 1.336
O 5.093 -0.470 1.336
O 3.659 -1.861 3.367
O 2.224 3.253 -1.336
O 1.435 -0.470 3.891
O 3.659 1.861 0.668
O 0.000 1.861 4.558
O 2.224 4.192 1.336
O 1.435 0.470 6.562
O 0.000 5.583 1.860
O -1.435 4.192 3.891
O 1.435 4.192 3.891



5
Lattice="4.701 0.000 0.000 0.000 4.701 0.000 0.000 0.000 4.956" Properties=species:S:1:pos:R:3 comment="BAs2PSe, optimized geometry, DFT GGA-PBE" e_form_raw_mev_per_atom=1458 density_g_cm3=4.102 relative_energy_kcal_per_mol_atoms=12.48 pbc="T T T"
B 0.000 0.000 0.000
As 0.000 2.351 2.478
As 2.351 0.000 2.478
P 2.351 2.351 2.478
Se 2.351 2.351 0.000



4
Lattice="0.000 3.468 3.468 3.468 0.000 3.468 3.468 3.468 0.000" Properties=species:S:1:pos:R:3 comment="SmScAlRh, optimized geometry, DFT GGA-PBE" delta_e_f_ev_per_atom=-0.52 density_g_cm3=6.471 pbc="T T T"
Sm 0.000 0.000 0.000
Sc 3.468 3.468 3.468
Al 1.734 1.734 1.734
Rh 5.203 5.203 5.203



20
Lattice="5.061 -7.067 0.000 5.061 7.067 0.000 0.000 0.000 7.424" Properties=species:S:1:pos:R:3 comment="Sm6DyCo3, optimized geometry, DFT GGA-PBE" delta_e_f_ev_per_atom=-0.01 density_g_cm3=7.764 pbc="T T T"
Sm 5.061 6.879 3.712
Sm 2.008 2.607 2.643
Sm 3.267 0.747 5.408
Sm 5.061 2.211 0.735
Sm 3.267 -0.747 1.696
Sm 2.008 -2.607 6.355
Sm 8.113 2.607 2.643
Sm 6.854 0.747 5.408
Sm 5.061 -2.211 4.447
Sm 6.854 -0.747 1.696
Sm 8.113 -2.607 6.355
Sm 5.061 -6.879 0.000
Dy 5.061 3.451 3.821
Dy 5.061 -3.451 0.109
Co 3.925 4.739 1.535
Co 6.196 4.739 1.535
Co 5.061 0.913 3.127
Co 5.061 -0.913 6.840
Co 3.925 -4.739 5.247
Co 6.196 -4.739 5.247